A plane-wave DFT calculation with PBE was carried out for crystalline Nd4Pd12Pt at its relaxed geometry.

a = 7.486 Å, b = 7.486 Å, c = 7.486 Å
α = 109.47°, β = 109.47°, γ = 109.47°
Fractional coordinates of all 17 atoms:
Nd1 0.000 0.000 0.500
Nd2 0.000 0.500 0.000
Nd3 0.500 0.000 0.000
Nd4 0.500 0.500 0.500
Pd1 0.000 0.302 0.302
Pd2 0.000 0.698 0.698
Pd3 0.250 0.500 0.750
Pd4 0.250 0.750 0.500
Pd5 0.302 0.000 0.302
Pd6 0.302 0.302 0.000
Pd7 0.500 0.250 0.750
Pd8 0.500 0.750 0.250
Pd9 0.698 0.000 0.698
Pd10 0.698 0.698 0.000
Pd11 0.750 0.250 0.500
Pd12 0.750 0.500 0.250
Pt1 0.000 0.000 0.000

Results
ΔH_f (0 K)	-0.728	eV per atom
N(E_F)	0.29	states/eV/atom
total magnetic moment	0.0	μB/f.u.
energy	-5.871	eV/atom